A plane-wave DFT calculation with PBE was carried out for a relaxed structure of Mn3VIr12.

```
data_Mn3VIr12
_chemical_formula_sum 'Mn3 V1 Ir12'
_symmetry_space_group_name_H-M 'P 4/m m m'
_symmetry_Int_Tables_number 123
_symmetry_space_group_name_Hall '-P 4 2'
_cell_length_a 3.8283
_cell_length_b 3.8283
_cell_length_c 15.3365
_cell_angle_alpha 90.00
_cell_angle_beta 90.00
_cell_angle_gamma 90.00
loop_
_atom_site_label
_atom_site_type_symbol
_atom_site_fract_x
_atom_site_fract_y
_atom_site_fract_z
Mn1 Mn 0.0000 0.0000 0.0000
Mn2 Mn 0.0000 0.0000 0.2479
V1 V 0.0000 0.0000 0.5000
Ir1 Ir 0.0000 0.5000 0.1241
Ir2 Ir 0.0000 0.5000 0.3761
Ir3 Ir 0.5000 0.5000 0.0000
Ir4 Ir 0.5000 0.5000 0.2501
Ir5 Ir 0.5000 0.5000 0.5000
```

DFT formation energy ... -5.8 kcal/mol of atoms